1) # Li3Re (PBE-GGA, relaxed)
# DOS(E_F)	1.6	states/eV per cell
data_Li3Re
_chemical_formula_sum 'Li3 Re1'
_cell_length_a 2.564
_cell_length_b 2.564
_cell_length_c 9.525
_cell_angle_alpha 90.00
_cell_angle_beta 90.00
_cell_angle_gamma 90.00
_symmetry_space_group_name_H-M 'P 4/m m m'
_symmetry_Int_Tables_number 123
_symmetry_space_group_name_Hall '-P 4 2'
loop_
_atom_site_label
_atom_site_type_symbol
_atom_site_fract_x
_atom_site_fract_y
_atom_site_fract_z
Li1 Li 0.000 0.000 0.000
Li2 Li 0.500 0.500 0.271
Re1 Re 0.000 0.000 0.500


2) # Li3Re (PBE-GGA, relaxed)
# DOS(E_F)	1.9	states/eV per cell
data_Li3Re
_chemical_formula_sum 'Li3 Re1'
_cell_length_a 2.445
_cell_length_b 4.712
_cell_length_c 5.125
_cell_angle_alpha 90.00
_cell_angle_beta 90.00
_cell_angle_gamma 90.00
_symmetry_space_group_name_H-M 'P m m 2'
_symmetry_Int_Tables_number 25
loop_
_symmetry_equiv_pos_as_xyz
'x,y,z'
'-x,-y,z'
'-x,y,z'
'x,-y,z'
loop_
_atom_site_label
_atom_site_type_symbol
_atom_site_fract_x
_atom_site_fract_y
_atom_site_fract_z
Li1 Li 0.000 0.000 0.000
Li2 Li 0.000 0.500 0.310
Li3 Li 0.500 0.000 0.547
Re1 Re 0.500 0.500 0.813


3) # Li3Re (PBE-GGA, relaxed)
# DOS(E_F)	5.9	states/eV per cell
data_Li3Re
_chemical_formula_sum 'Li12 Re4'
_cell_length_a 8.674
_cell_length_b 7.695
_cell_length_c 3.873
_cell_angle_alpha 90.00
_cell_angle_beta 90.00
_cell_angle_gamma 90.00
_symmetry_space_group_name_H-M 'C m c m'
_symmetry_Int_Tables_number 63
_symmetry_space_group_name_Hall '-C 2c 2'
loop_
_atom_site_label
_atom_site_type_symbol
_atom_site_fract_x
_atom_site_fract_y
_atom_site_fract_z
Li1 Li 0.000 0.143 0.250
Li2 Li 0.250 0.128 0.750
Re1 Re 0.000 0.411 0.750


Name the least stable of them. 2).